First-principles (PBE) data for a relaxed RbYScGa2 crystal, as listed in Alexandria via LeMat-Bulk.

a b c (Å): 5.481 5.481 5.046
angles (deg): 90.00 90.00 90.00
Positions (direct):
Rb (0.000, 0.000, 0.000)
Y (0.500, 0.500, 0.500)
Sc (0.000, 0.000, 0.500)
Ga (0.000, 0.500, 0.000)
Ga (0.500, 0.000, 0.000)

Summary:
- ΔE_f: 1.1561 eV per atom
- Crystal system: tetragonal
- VASP energy: -2.807 eV per atom